(1)
First-principles (GGA-PBE) data for crystalline TlSi2AgW at its relaxed geometry, as listed in Alexandria.

```
data_TlSi2AgW
_chemical_formula_sum 'Tl1 Si2 Ag1 W1'
_cell_length_a 4.6547
_cell_length_b 4.6547
_cell_length_c 5.3491
_cell_angle_alpha 90.00
_cell_angle_beta 90.00
_cell_angle_gamma 90.00
_symmetry_space_group_name_H-M 'P 4/m m m'
_symmetry_Int_Tables_number 123
_symmetry_space_group_name_Hall '-P 4 2'
loop_
_atom_site_label
_atom_site_fract_x
_atom_site_fract_y
_atom_site_fract_z
Tl1 0.0000 0.0000 0.0000
Si1 0.0000 0.5000 0.5000
Ag1 0.5000 0.5000 0.5000
W1 0.5000 0.5000 0.0000
```

M_tot (Bohr magnetons per cell): 2.7
Volume (Å³ per cell): 115.90
Electronic total energy (eV/atom): -4.198
Uncorrected formation energy (eV/atom): 1.606

(2)
First-principles (GGA-PBE) data for crystalline Zr2TlSiAg at its relaxed geometry, as listed in Alexandria.

```
data_Zr2TlSiAg
_chemical_formula_sum 'Zr2 Tl1 Si1 Ag1'
_cell_length_a 4.9996
_cell_length_b 4.9996
_cell_length_c 5.0114
_cell_angle_alpha 90.00
_cell_angle_beta 90.00
_cell_angle_gamma 90.00
_symmetry_space_group_name_H-M 'P 4/m m m'
_symmetry_Int_Tables_number 123
_symmetry_space_group_name_Hall '-P 4 2'
loop_
_atom_site_label
_atom_site_fract_x
_atom_site_fract_y
_atom_site_fract_z
Zr1 0.0000 0.5000 0.0000
Tl1 0.0000 0.0000 0.5000
Si1 0.0000 0.0000 0.0000
Ag1 0.5000 0.5000 0.5000
```

M_tot (Bohr magnetons per cell): 0.0
Volume (Å³ per cell): 125.26
Electronic total energy (eV/atom): -5.062
Uncorrected formation energy (eV/atom): 0.485

(3)
First-principles (GGA-PBE) data for crystalline Tm3Si4Ag at its relaxed geometry, as listed in Alexandria.

```
data_Tm3Si4Ag
_chemical_formula_sum 'Tm6 Si8 Ag2'
_cell_length_a 4.1019
_cell_length_b 5.7812
_cell_length_c 14.7628
_cell_angle_alpha 90.00
_cell_angle_beta 90.00
_cell_angle_gamma 90.00
_symmetry_space_group_name_H-M 'I m m m'
_symmetry_Int_Tables_number 71
_symmetry_space_group_name_Hall '-I 2 2'
loop_
_atom_site_label
_atom_site_fract_x
_atom_site_fract_y
_atom_site_fract_z
Tm1 0.0000 0.0000 0.0000
Tm2 0.0000 0.5000 0.1933
Si1 0.0000 0.2988 0.3752
Ag1 0.0000 0.0000 0.5000
```

M_tot (Bohr magnetons per cell): 0.0
Volume (Å³ per cell): 350.08
Electronic total energy (eV/atom): -5.199
Uncorrected formation energy (eV/atom): -0.454

(4)
First-principles (GGA-PBE) data for crystalline TmSi2Ag6 at its relaxed geometry, as listed in Alexandria.

```
data_TmSi2Ag6
_chemical_formula_sum 'Tm1 Si2 Ag6'
_cell_length_a 4.0961
_cell_length_b 4.0961
_cell_length_c 9.7585
_cell_angle_alpha 90.00
_cell_angle_beta 90.00
_cell_angle_gamma 90.00
_symmetry_space_group_name_H-M 'P 4/m m m'
_symmetry_Int_Tables_number 123
_symmetry_space_group_name_Hall '-P 4 2'
loop_
_atom_site_label
_atom_site_fract_x
_atom_site_fract_y
_atom_site_fract_z
Tm1 0.0000 0.0000 0.0000
Si1 0.5000 0.5000 0.1155
Ag1 0.0000 0.0000 0.5000
Ag2 0.0000 0.5000 0.2772
Ag3 0.5000 0.5000 0.5000
```

M_tot (Bohr magnetons per cell): 0.0
Volume (Å³ per cell): 163.73
Electronic total energy (eV/atom): -3.757
Uncorrected formation energy (eV/atom): -0.154

(5)
First-principles (GGA-PBE) data for crystalline TmSi2Ag at its relaxed geometry, as listed in Alexandria.

```
data_TmSi2Ag
_chemical_formula_sum 'Tm8 Si16 Ag8'
_cell_length_a 13.3053
_cell_length_b 4.1761
_cell_length_c 10.7526
_cell_angle_alpha 90.00
_cell_angle_beta 90.00
_cell_angle_gamma 90.00
_symmetry_space_group_name_H-M 'P n m a'
_symmetry_Int_Tables_number 62
loop_
_symmetry_equiv_pos_as_xyz
'x,y,z'
'-x,-y,-z'
'-x+1/2,-y,z+1/2'
'x+1/2,y,-z+1/2'
'x+1/2,-y+1/2,-z+1/2'
'-x+1/2,y+1/2,z+1/2'
'-x,y+1/2,-z'
'x,-y+1/2,z'
loop_
_atom_site_label
_atom_site_fract_x
_atom_site_fract_y
_atom_site_fract_z
Tm1 0.0508 0.2500 0.2381
Tm2 0.1941 0.7500 0.9528
Si1 0.0277 0.2500 0.9644
Si2 0.1092 0.2500 0.7756
Si3 0.1323 0.7500 0.4392
Si4 0.2104 0.7500 0.2501
Ag1 0.0629 0.2500 0.5482
Ag2 0.2153 0.7500 0.6511
```

M_tot (Bohr magnetons per cell): 0.0
Volume (Å³ per cell): 597.45
Electronic total energy (eV/atom): -4.923
Uncorrected formation energy (eV/atom): -0.381

(6)
First-principles (GGA-PBE) data for crystalline YTmSiAg at its relaxed geometry, as listed in Alexandria.

```
data_YTmSiAg
_chemical_formula_sum 'Y4 Tm4 Si4 Ag4'
_cell_length_a 7.0971
_cell_length_b 7.0971
_cell_length_c 7.0971
_cell_angle_alpha 90.00
_cell_angle_beta 90.00
_cell_angle_gamma 90.00
_symmetry_space_group_name_H-M 'F -4 3 m'
_symmetry_Int_Tables_number 216
_symmetry_space_group_name_Hall 'F -4 2 3'
loop_
_atom_site_label
_atom_site_fract_x
_atom_site_fract_y
_atom_site_fract_z
Y1 0.0000 0.0000 0.0000
Tm1 0.0000 0.0000 0.5000
Si1 0.2500 0.2500 0.2500
Ag1 0.2500 0.2500 0.7500
```

M_tot (Bohr magnetons per cell): 0.0
Volume (Å³ per cell): 357.48
Electronic total energy (eV/atom): -5.248
Uncorrected formation energy (eV/atom): -0.446

(7)
First-principles (GGA-PBE) data for crystalline VSi2Ag at its relaxed geometry, as listed in Alexandria.

```
data_VSi2Ag
_chemical_formula_sum 'V4 Si8 Ag4'
_cell_length_a 6.8284
_cell_length_b 6.8284
_cell_length_c 5.6334
_cell_angle_alpha 90.00
_cell_angle_beta 90.00
_cell_angle_gamma 90.00
_symmetry_space_group_name_H-M 'I -4 2 d'
_symmetry_Int_Tables_number 122
_symmetry_space_group_name_Hall 'I -4 2bw'
loop_
_atom_site_label
_atom_site_fract_x
_atom_site_fract_y
_atom_site_fract_z
V1 0.0000 0.0000 0.0000
Si1 0.2461 0.2500 0.1250
Ag1 0.0000 0.0000 0.5000
```

M_tot (Bohr magnetons per cell): 4.8
Volume (Å³ per cell): 262.67
Electronic total energy (eV/atom): -5.187
Uncorrected formation energy (eV/atom): 0.517

(8)
First-principles (GGA-PBE) data for crystalline V2SiAg at its relaxed geometry, as listed in Alexandria.

```
data_V2SiAg
_chemical_formula_sum 'V8 Si4 Ag4'
_cell_length_a 6.9457
_cell_length_b 6.9457
_cell_length_c 5.1556
_cell_angle_alpha 90.00
_cell_angle_beta 90.00
_cell_angle_gamma 90.00
_symmetry_space_group_name_H-M 'I -4 2 d'
_symmetry_Int_Tables_number 122
_symmetry_space_group_name_Hall 'I -4 2bw'
loop_
_atom_site_label
_atom_site_fract_x
_atom_site_fract_y
_atom_site_fract_z
V1 0.2273 0.2500 0.1250
Si1 0.0000 0.0000 0.0000
Ag1 0.0000 0.0000 0.5000
```

M_tot (Bohr magnetons per cell): 0.0
Volume (Å³ per cell): 248.72
Electronic total energy (eV/atom): -6.215
Uncorrected formation energy (eV/atom): 0.413

Q: Among the records above, which one has the lowest electronic total energy?
A: V2SiAg